Record 1
First-principles (GGA-PBE) data for a geometry-optimized Rb2P2I structure, as listed in Alexandria via LeMat-Bulk.

The calculation puts the energy relative to the elements, uncorrected at -561.6 meV per atom. The calculation puts the density of states at the Fermi level at 0.480 states/eV/atom.

Cell lengths 9.2047, 9.2047, 4.4672 Å; angles 90.00, 90.00, 90.00 degrees
With the nearest neighbours (Å) after each atom.
Sites, in units of the cell vectors:
Rb (0.2081, 0.2919, 0.0000)  6 P 3.59-3.65, 4 I 3.98
Rb (0.2919, 0.7919, 0.0000)  6 P 3.59-3.65, 4 I 3.98
Rb (0.7081, 0.2081, 0.0000)  6 P 3.59-3.65, 4 I 3.98
Rb (0.7919, 0.7081, 0.0000)  6 P 3.59-3.65, 4 I 3.98
P (0.0762, 0.5762, 0.5000)  1 P 1.98
P (0.4238, 0.0762, 0.5000)  1 P 1.98
P (0.5762, 0.9238, 0.5000)  1 P 1.98
P (0.9238, 0.4238, 0.5000)  1 P 1.98
I (0.0000, 0.0000, 0.5000)  4 P 3.96, 8 Rb 3.98
I (0.5000, 0.5000, 0.5000)  4 P 3.96, 8 Rb 3.98

***

Record 2
First-principles (GGA-PBE) data for a geometry-optimized Rb2PI7 structure, as listed in Alexandria via LeMat-Bulk.

The calculation puts the energy relative to the elements, uncorrected at -532.5 meV per atom. The calculation puts the density of states at the Fermi level at 0.347 states/eV/atom.

Cell lengths 8.5428, 8.5428, 8.5428 Å; angles 119.25, 119.25, 91.31 degrees
With the nearest neighbours (Å) after each atom.
Sites, in units of the cell vectors:
Rb (0.2500, 0.7500, 0.5000)  12 I 4.28-4.33
Rb (0.7500, 0.2500, 0.5000)  12 I 4.28-4.33
P (0.0000, 0.0000, 0.0000)  6 I 2.75-2.77
I (0.2266, 0.2266, 0.4533)  1 P 2.77
I (0.2266, 0.7734, 0.0000)  1 P 2.77
I (0.2303, 0.2303, 0.0000)  1 P 2.75
I (0.5000, 0.5000, 0.0000)  6 I 3.22-3.34
I (0.7697, 0.7697, 0.0000)  1 P 2.75
I (0.7734, 0.2266, 0.0000)  1 P 2.77
I (0.7734, 0.7734, 0.5467)  1 P 2.77

***

Record 3
First-principles (GGA-PBE) data for a geometry-optimized Rb3PI6 structure, as listed in Alexandria via LeMat-Bulk.

For the relative energy among the computed polymorphs, the calculation gives 0.0000 eV/atom. The calculation puts the energy relative to the elements, uncorrected at -862.4 meV per atom. The calculation puts the density of states at the Fermi level at 0.000 states/eV/atom.

Cell lengths 8.5486, 9.0912, 14.6555 Å; angles 90.00, 124.19, 90.00 degrees
With the nearest neighbours (Å) after each atom.
Sites, in units of the cell vectors:
Rb (0.0000, 0.0000, 0.0000)  6 I 3.63-3.74
Rb (0.0000, 0.5000, 0.5000)  6 I 3.63-3.74
Rb (0.2151, 0.0775, 0.7446)  6 I 3.69-3.94
Rb (0.2151, 0.4225, 0.2446)  6 I 3.69-3.94
Rb (0.7849, 0.5775, 0.7554)  6 I 3.69-3.94
Rb (0.7849, 0.9225, 0.2554)  6 I 3.69-3.94
P (0.5000, 0.0000, 0.5000)  6 I 2.81-2.84
P (0.5000, 0.5000, 0.0000)  6 I 2.81-2.84
I (0.1842, 0.1689, 0.4521)  1 P 2.83
I (0.1842, 0.3311, 0.9521)  1 P 2.83
I (0.2769, 0.7409, 0.4324)  1 P 2.84
I (0.2769, 0.7591, 0.9324)  1 P 2.84
I (0.4006, 0.0443, 0.2835)  1 P 2.81
I (0.4006, 0.4557, 0.7835)  1 P 2.81
I (0.5994, 0.5443, 0.2165)  1 P 2.81
I (0.5994, 0.9557, 0.7165)  1 P 2.81
I (0.7231, 0.2409, 0.0676)  1 P 2.84
I (0.7231, 0.2591, 0.5676)  1 P 2.84
I (0.8158, 0.6689, 0.0479)  1 P 2.83
I (0.8158, 0.8311, 0.5479)  1 P 2.83

***

Record 4
First-principles (GGA-PBE) data for a geometry-optimized Rb2PI4 structure, as listed in Alexandria via LeMat-Bulk.

The calculation puts the energy relative to the elements, uncorrected at -748.1 meV per atom. The calculation puts the density of states at the Fermi level at 0.367 states/eV/atom.

Cell lengths 9.9592, 9.9592, 9.9592 Å; angles 146.10, 146.10, 48.70 degrees
With the nearest neighbours (Å) after each atom.
Sites, in units of the cell vectors:
Rb (0.1364, 0.1364, 0.0000)  9 I 3.76-4.12
Rb (0.8636, 0.8636, 0.0000)  9 I 3.76-4.12
P (0.5000, 0.5000, 0.0000)  6 I 2.84-2.90
I (0.0000, 0.5000, 0.5000)  2 P 2.90
I (0.3436, 0.3436, 0.0000)  1 P 2.84
I (0.5000, 0.0000, 0.5000)  2 P 2.90
I (0.6564, 0.6564, 0.0000)  1 P 2.84

***

Record 5
First-principles (GGA-PBE) data for a geometry-optimized RbPI structure, as listed in Alexandria via LeMat-Bulk.

The calculation puts the energy relative to the elements, uncorrected at -616.3 meV per atom. The calculation puts the density of states at the Fermi level at 0.445 states/eV/atom.

Cell lengths 11.6972, 11.6972, 6.4868 Å; angles 103.94, 103.94, 17.47 degrees
With the nearest neighbours (Å) after each atom.
Sites, in units of the cell vectors:
Rb (0.0788, 0.0788, 0.3182)  2 Rb 3.55, 2 P 3.66, 6 I 3.70-3.76
Rb (0.9212, 0.9212, 0.6818)  2 Rb 3.55, 2 P 3.66, 6 I 3.70-3.76
P (0.2786, 0.2786, 0.5391)  2 P 2.20
P (0.7214, 0.7214, 0.4609)  2 P 2.20
I (0.4310, 0.4310, 0.1900)  2 I 3.55, 6 Rb 3.70-3.76
I (0.5690, 0.5690, 0.8100)  2 I 3.55, 6 Rb 3.70-3.76

***

Record 6
First-principles (GGA-PBE) data for a geometry-optimized Rb2PRuI6 structure, as listed in Alexandria via LeMat-Bulk.

The calculation puts the energy relative to the elements, uncorrected at -389.0 meV per atom. The calculation puts the density of states at the Fermi level at 1.301 states/eV/atom.

Cell lengths 8.0446, 8.0446, 8.0446 Å; angles 120.04, 120.04, 89.93 degrees
With the nearest neighbours (Å) after each atom.
Sites, in units of the cell vectors:
Rb (0.2500, 0.7500, 0.5000)  12 I 4.02
Rb (0.7500, 0.2500, 0.5000)  12 I 4.02
P (0.0000, 0.0000, 0.0000)  6 I 2.89-2.90
Ru (0.5000, 0.5000, 0.0000)  6 I 2.79
I (0.2543, 0.2543, 0.5086)  1 Ru 2.79, 1 P 2.89
I (0.2543, 0.7457, 0.0000)  1 Ru 2.79, 1 P 2.89
I (0.2551, 0.2551, 0.0000)  1 Ru 2.79, 1 P 2.90
I (0.7449, 0.7449, 0.0000)  1 Ru 2.79, 1 P 2.90
I (0.7457, 0.2543, 0.0000)  1 Ru 2.79, 1 P 2.89
I (0.7457, 0.7457, 0.4914)  1 Ru 2.79, 1 P 2.89

***

Record 7
First-principles (GGA-PBE) data for a geometry-optimized RbPS2I structure, as listed in Alexandria via LeMat-Bulk.

For the relative energy among the computed polymorphs, the calculation gives 0.8725 eV/atom. The calculation puts the energy relative to the elements, uncorrected at 1322.2 meV per atom. The calculation puts the density of states at the Fermi level at 1.127 states/eV/atom.

Cell lengths 6.5471, 6.5471, 6.6892 Å; angles 90.00, 90.00, 90.00 degrees
With the nearest neighbours (Å) after each atom.
Sites, in units of the cell vectors:
Rb (0.0000, 0.0000, 0.0000)  4 S 3.27, 2 P 3.34
P (0.0000, 0.0000, 0.5000)  2 Rb 3.34
S (0.0000, 0.5000, 0.0000)  2 Rb 3.27
S (0.5000, 0.0000, 0.0000)  2 Rb 3.27
I (0.5000, 0.5000, 0.5000)  4 P 4.63, 8 S 4.68

***

Record 8
First-principles (GGA-PBE) data for a geometry-optimized RbPS2I structure, as listed in Alexandria via LeMat-Bulk.

For the relative energy among the computed polymorphs, the calculation gives 0.0000 eV/atom. The calculation puts the energy relative to the elements, uncorrected at 449.7 meV per atom. The calculation puts the density of states at the Fermi level at 0.488 states/eV/atom.

Cell lengths 5.3205, 5.3205, 5.3969 Å; angles 90.00, 90.00, 90.00 degrees
With the nearest neighbours (Å) after each atom.
Sites, in units of the cell vectors:
Rb (0.0000, 0.0000, 0.0000)  4 P 3.76, 8 S 3.79
P (0.5000, 0.5000, 0.0000)  2 I 2.70
S (0.0000, 0.5000, 0.5000)  2 I 2.66
S (0.5000, 0.0000, 0.5000)  2 I 2.66
I (0.5000, 0.5000, 0.5000)  4 S 2.66, 2 P 2.70

***

Record 9
First-principles (GGA-PBE) data for a geometry-optimized Rb2SbPI6 structure, as listed in Alexandria via LeMat-Bulk.

The calculation puts the energy relative to the elements, uncorrected at -585.9 meV per atom. The calculation puts the density of states at the Fermi level at 0.351 states/eV/atom.

Cell lengths 8.4307, 8.4307, 8.4307 Å; angles 120.54, 120.54, 89.07 degrees
With the nearest neighbours (Å) after each atom.
Sites, in units of the cell vectors:
Rb (0.2500, 0.7500, 0.5000)  12 I 4.18-4.22
Rb (0.7500, 0.2500, 0.5000)  12 I 4.18-4.22
Sb (0.0000, 0.0000, 0.0000)  6 I 3.06-3.09
P (0.5000, 0.5000, 0.0000)  6 I 2.85-2.92
I (0.2570, 0.2570, 0.0000)  1 P 2.92, 1 Sb 3.09
I (0.2589, 0.2589, 0.5179)  1 P 2.85, 1 Sb 3.06
I (0.2589, 0.7411, 0.0000)  1 P 2.85, 1 Sb 3.06
I (0.7411, 0.2589, 0.0000)  1 P 2.85, 1 Sb 3.06
I (0.7411, 0.7411, 0.4821)  1 P 2.85, 1 Sb 3.06
I (0.7430, 0.7430, 0.0000)  1 P 2.92, 1 Sb 3.09

***

Record 10
First-principles (GGA-PBE) data for a geometry-optimized RbSb2PI structure, as listed in Alexandria via LeMat-Bulk.

For the relative energy among the computed polymorphs, the calculation gives 1.2705 eV/atom. The calculation puts the energy relative to the elements, uncorrected at 1324.9 meV per atom.

Cell lengths 8.4462, 8.4462, 6.8320 Å; angles 90.00, 90.00, 90.00 degrees
With the nearest neighbours (Å) after each atom.
Sites, in units of the cell vectors:
Rb (0.0000, 0.0000, 0.0000)  2 I 3.42
Sb (0.0000, 0.5000, 0.0000)  2 Rb 4.22
Sb (0.5000, 0.0000, 0.0000)  2 Rb 4.22
P (0.5000, 0.5000, 0.5000)  8 Sb 5.43, 4 I 5.97
I (0.0000, 0.0000, 0.5000)  2 Rb 3.42

***

Record 11
First-principles (GGA-PBE) data for a geometry-optimized RbSb2PI structure, as listed in Alexandria via LeMat-Bulk.

For the relative energy among the computed polymorphs, the calculation gives 0.0000 eV/atom. The calculation puts the energy relative to the elements, uncorrected at 54.5 meV per atom. The calculation puts the density of states at the Fermi level at 0.995 states/eV/atom.

Cell lengths 5.1492, 5.1492, 9.2049 Å; angles 90.00, 90.00, 90.00 degrees
With the nearest neighbours (Å) after each atom.
Sites, in units of the cell vectors:
Rb (0.0000, 0.0000, 0.0000)  4 I 3.64
Sb (0.0000, 0.5000, 0.5000)  2 P 2.57
Sb (0.5000, 0.0000, 0.5000)  2 P 2.57
P (0.5000, 0.5000, 0.5000)  4 Sb 2.57
I (0.5000, 0.5000, 0.0000)  4 Rb 3.64

***

Record 12
First-principles (GGA-PBE) data for a geometry-optimized Rb2SiPI structure, as listed in Alexandria via LeMat-Bulk.

The calculation puts the energy relative to the elements, uncorrected at -429.7 meV per atom. The calculation puts the density of states at the Fermi level at 0.622 states/eV/atom.

Cell lengths 6.7464, 6.7464, 4.5273 Å; angles 90.00, 90.00, 90.00 degrees
With the nearest neighbours (Å) after each atom.
Sites, in units of the cell vectors:
Rb (0.0000, 0.5000, 0.0000)  2 P 3.37
Rb (0.5000, 0.0000, 0.0000)  2 P 3.37
Si (0.0000, 0.0000, 0.5000)  2 P 2.26
P (0.0000, 0.0000, 0.0000)  2 Si 2.26
I (0.5000, 0.5000, 0.5000)  8 Rb 4.06, 2 I 4.53